AcSmHgGe GGA-PBE relaxed; energy of formation from the pure elements = -0.51 eV per atom; total moment = 0.0 μB/f.u.; ρ = 9.4 g/cm3; SG = No. 216; D(E_F) = 1.16 states/eV per atom
1.0
-0.491 0.827 -5.368
2.850 -3.059 -3.502
-2.553 -3.685 -3.105
Ac Ge Hg Sm
1 1 1 1
Direct
0.500 0.500 0.500
0.250 0.250 0.250
0.750 0.750 0.750
0.000 0.000 0.000